# 1
{
  "formula": "TbNpSc2P4",
  "functional": "PBE-GGA",
  "state": "optimized geometry",
  "e_tot_ev_per_cell": -62.680,
  "delta_e_f_ev_per_atom": -1.35,
  "lattice_angstrom": [[6.682, 0.000, 0.000], [0.000, 3.873, 0.000], [-2.235, 0.000, 6.342]],
  "species": ["Tb", "Np", "Sc", "Sc", "P", "P", "P", "P"],
  "fractional_positions": [[0.000, 0.000, 0.000], [0.000, 0.500, 0.500], [0.500, 0.000, 0.500], [0.500, 0.500, 0.000], [0.262, 0.000, 0.751], [0.263, 0.500, 0.259], [0.737, 0.500, 0.741], [0.738, 0.000, 0.249]]
}

***

# 2
{
  "formula": "VSi2Ni",
  "functional": "PBE-GGA",
  "state": "optimized geometry",
  "e_tot_ev_per_cell": -80.611,
  "formation_energy_uncorrected_ev_per_atom": -0.281,
  "lattice_angstrom": [[3.838, 0.000, 0.000], [-1.919, 3.324, 0.000], [0.000, 0.000, 11.826]],
  "species": ["V", "V", "V", "Si", "Si", "Si", "Si", "Si", "Si", "Ni", "Ni", "Ni"],
  "fractional_positions": [[0.000, 0.000, 0.000], [0.333, 0.667, 0.667], [0.667, 0.333, 0.333], [0.000, 0.000, 0.225], [0.000, 0.000, 0.775], [0.333, 0.667, 0.441], [0.333, 0.667, 0.892], [0.667, 0.333, 0.108], [0.667, 0.333, 0.559], [0.000, 0.000, 0.500], [0.333, 0.667, 0.167], [0.667, 0.333, 0.833]]
}

***

# 3
{
  "formula": "BeGeN2F",
  "functional": "PBE-GGA",
  "state": "optimized geometry",
  "e_tot_ev_per_cell": -25.557,
  "formation_energy_uncorrected_ev_per_atom": 0.262,
  "de_polymorph_mev_per_atom": 0.0,
  "lattice_angstrom": [[3.693, 0.000, 0.000], [0.000, 3.693, 0.000], [0.000, 0.000, 3.312]],
  "species": ["Be", "Ge", "N", "N", "F"],
  "fractional_positions": [[0.000, 0.000, 0.000], [0.500, 0.500, 0.500], [0.000, 0.500, 0.000], [0.500, 0.000, 0.000], [0.000, 0.000, 0.500]]
}